1.
MgInP2: relaxed, PBE-GGA.

**E**: -3.65 eV per atom
**Space group**: No. 119
**E_form**: 13 kJ/mol of atoms

a = 6.0553 Å, b = 6.0553 Å, c = 6.0553 Å
α = 143.37°, β = 143.37°, γ = 52.78°
With the nearest neighbours (Å) after each atom.
Atoms (fractional coordinates):
Mg (0.0000, 0.0000, 0.0000)  4 P 2.69
In (0.7500, 0.2500, 0.5000)  4 P 2.69
P (0.2500, 0.7500, 0.5000)  4 In 2.69
P (0.5000, 0.5000, 0.0000)  4 Mg 2.69

---

2.
Mg2InP: relaxed, PBE-GGA.

**E**: -2.83 eV per atom
**Space group**: No. 225
**E_form**: 1 kJ/mol of atoms

a = 4.9058 Å, b = 4.9058 Å, c = 4.9058 Å
α = 60.00°, β = 60.00°, γ = 60.00°
With the nearest neighbours (Å) after each atom.
Atoms (fractional coordinates):
Mg (0.2500, 0.2500, 0.2500)  4 In 3.00, 4 P 3.00
Mg (0.7500, 0.7500, 0.7500)  4 In 3.00, 4 P 3.00
In (0.0000, 0.0000, 0.0000)  8 Mg 3.00
P (0.5000, 0.5000, 0.5000)  8 Mg 3.00

---

3.
Mg2InP: relaxed, PBE-GGA.

**E**: -2.91 eV per atom
**Space group**: No. 160
**E_form**: -7 kJ/mol of atoms

a = 7.8844 Å, b = 7.8844 Å, c = 7.8844 Å
α = 28.34°, β = 28.34°, γ = 28.34°
With the nearest neighbours (Å) after each atom.
Atoms (fractional coordinates):
Mg (0.0000, 0.0000, 0.0000)  3 P 2.59
Mg (0.2264, 0.2264, 0.2264)  3 In 3.21, 3 Mg 3.29
In (0.4582, 0.4582, 0.4582)  3 P 2.69
P (0.7252, 0.7252, 0.7252)  3 Mg 2.59, 3 In 2.69

---

4.
MgInP2: relaxed, PBE-GGA.

**E**: -3.43 eV per atom
**Space group**: No. 216
**E_form**: 34 kJ/mol of atoms

a = 4.7733 Å, b = 4.7733 Å, c = 4.7733 Å
α = 60.00°, β = 60.00°, γ = 60.00°
With the nearest neighbours (Å) after each atom.
Atoms (fractional coordinates):
Mg (0.0000, 0.0000, 0.0000)  4 In 2.92, 4 P 2.92
In (0.7500, 0.7500, 0.7500)  4 Mg 2.92, 4 P 2.92
P (0.2500, 0.2500, 0.2500)  4 Mg 2.92, 4 P 2.92
P (0.5000, 0.5000, 0.5000)  4 In 2.92, 4 P 2.92

---

5.
MgInP2: relaxed, PBE-GGA.

**E**: -3.72 eV per atom
**Space group**: No. 12
**E_form**: 7 kJ/mol of atoms

a = 4.6977 Å, b = 4.6977 Å, c = 3.9077 Å
α = 101.98°, β = 101.98°, γ = 104.25°
With the nearest neighbours (Å) after each atom.
Atoms (fractional coordinates):
Mg (0.0000, 0.0000, 0.0000)  4 P 2.73, 2 In 2.88
In (0.5000, 0.5000, 0.0000)  4 P 2.73, 2 Mg 2.88
P (0.0000, 0.5000, 0.5000)  2 In 2.73, 2 Mg 2.73, 2 P 2.88
P (0.5000, 0.0000, 0.5000)  2 In 2.73, 2 Mg 2.73, 2 P 2.88

---

6.
Mg2InP: relaxed, PBE-GGA.

**E**: -2.89 eV per atom
**Space group**: No. 25
**E_form**: -5 kJ/mol of atoms

a = 3.6351 Å, b = 3.6933 Å, c = 6.6930 Å
α = 90.00°, β = 90.00°, γ = 90.00°
With the nearest neighbours (Å) after each atom.
Atoms (fractional coordinates):
Mg (0.0000, 0.0000, 0.0000)  4 P 2.64, 1 In 2.95
Mg (0.5000, 0.5000, 0.3070)  1 P 2.56
In (0.0000, 0.0000, 0.5599)  5 Mg 2.95-3.09
P (0.5000, 0.5000, 0.9246)  5 Mg 2.56-2.64

---

7.
MgInP2: relaxed, PBE-GGA.

**E**: -3.82 eV per atom
**Space group**: No. 12
**E_form**: -3 kJ/mol of atoms

a = 5.8541 Å, b = 5.8541 Å, c = 5.2902 Å
α = 105.46°, β = 105.46°, γ = 32.24°
With the nearest neighbours (Å) after each atom.
Atoms (fractional coordinates):
Mg (0.0000, 0.0000, 0.0000)  2 P 2.70
In (0.5000, 0.5000, 0.5000)  2 P 2.93, 4 Mg 3.10, 2 In 3.25
P (0.2499, 0.2499, 0.1394)  2 P 2.19
P (0.7501, 0.7501, 0.8606)  2 P 2.19

---

8.
MgIn2P2: relaxed, PBE-GGA.

**E**: -3.48 eV per atom
**Space group**: No. 139
**E_form**: 10 kJ/mol of atoms

a = 5.3932 Å, b = 5.3932 Å, c = 5.3932 Å
α = 119.87°, β = 119.87°, γ = 90.23°
With the nearest neighbours (Å) after each atom.
Atoms (fractional coordinates):
Mg (0.0000, 0.0000, 0.0000)  2 P 2.64
In (0.2500, 0.7500, 0.5000)  4 P 2.80
In (0.7500, 0.2500, 0.5000)  4 P 2.80
P (0.3468, 0.3468, 0.0000)  1 P 2.33
P (0.6532, 0.6532, 0.0000)  1 P 2.33